The following is a DFT calculation (GGA-PBE) of a geometry-optimized Ag12Te5Se2 structure.

Structure (POSCAR):
```
Ag12Te5Se2
1.0
-7.360 0.928 4.658
7.757 -9.612 5.935
4.022 -2.117 6.777
Ag Te Se
12 5 2
direct
0.108 0.216 0.504 Ag
0.747 0.110 0.172 Ag
0.606 0.580 0.535 Ag
0.637 0.890 0.828 Ag
0.587 0.173 0.636 Ag
0.026 0.420 0.465 Ag
0.413 0.827 0.364 Ag
0.974 0.580 0.535 Ag
0.394 0.420 0.465 Ag
0.253 0.890 0.828 Ag
0.892 0.784 0.496 Ag
0.363 0.110 0.172 Ag
0.338 0.676 0.899 Te
0.662 0.324 0.101 Te
0.784 0.568 0.253 Te
0.000 0.000 0.500 Te
0.216 0.432 0.747 Te
0.229 0.000 0.000 Se
0.771 0.000 0.000 Se
```

## Properties
As for the density of states at the Fermi level: 0.104 states/eV per atom. The uncorrected formation energy is -0.03 eV/atom.